Material: LaCr2PbO
Method: DFT, PBE+U
State: optimized geometry

Properties
- Total DFT energy (no corrections): -5.704 eV per atom
- Calculated volume: 31.6 Å³/atom
- ρ: 4.90 g/cm³
- Fermi-level density of states: 1.43 states/eV per cell

Lattice parameters (Å, degrees): 6.141 6.141 4.186 90.00 90.00 90.00
Space group P4/mmm (No. 123)
Symmetry-distinct sites (fractional):
La: 0.000 0.000 0.000
Cr: 0.000 0.500 0.000
Pb: 0.500 0.500 0.500
O: 0.000 0.000 0.500